VASP calculation (PBE) on a relaxed UFeGe crystal.

Lattice parameters (Å, degrees): 4.2545 4.2545 3.3156 90.00 90.00 120.00
Closest atoms and distances in Å follow each position.
Space group P-6m2 (No. 187)
Asymmetric unit:
U1 0.0000 0.0000 0.0000 [1 per cell]  6 Ge 2.96, 6 Fe 2.96, 2 U 3.32
Fe1 0.3333 0.6667 0.5000 [1 per cell]  3 Ge 2.46
Ge1 0.6667 0.3333 0.5000 [1 per cell]  3 Fe 2.46

Properties
For the formation energy, the calculation gives -257 meV per atom. The spin magnetization comes out at 0.235 μB/atom.